{"formula": "DyTm2As3", "functional": "PBE", "state": "optimized geometry", "delta_e_f_ev_per_atom": -1.515, "dft_energy_ev_per_fu": -36.59, "magnetic_moment_mub_per_fu": 0.00, "lattice": [[4.084, 0.000, 0.000], [0.000, 5.772, 0.000], [0.000, 0.000, 12.242]], "species": ["Dy", "Dy", "Tm", "Tm", "Tm", "Tm", "As", "As", "As", "As", "As", "As"], "frac_coords": [[0.000, 0.000, 0.000], [0.500, 0.500, 0.500], [0.000, 0.000, 0.334], [0.000, 0.000, 0.666], [0.500, 0.500, 0.166], [0.500, 0.500, 0.834], [0.000, 0.500, 0.000], [0.000, 0.500, 0.331], [0.000, 0.500, 0.669], [0.500, 0.000, 0.169], [0.500, 0.000, 0.500], [0.500, 0.000, 0.831]]}

---

{"formula": "CuSnGe2Bi", "functional": "PBE", "state": "optimized geometry", "delta_e_f_ev_per_atom": 1.141, "dft_energy_ev_per_fu": -15.51, "magnetic_moment_mub_per_fu": 0.00, "lattice": [[5.215, 0.000, 0.000], [0.000, 5.215, 0.000], [0.000, 0.000, 5.925]], "species": ["Cu", "Sn", "Ge", "Ge", "Bi"], "frac_coords": [[0.000, 0.000, 0.000], [0.500, 0.500, 0.500], [0.000, 0.500, 0.500], [0.500, 0.000, 0.500], [0.500, 0.500, 0.000]]}

---

Going through the records in order, we get theoretical density values of 8345, 5529 kg/m³.